Here is a relaxed Na2Ni3HgF12 crystal from Alexandria via LeMat-Bulk. Energies are from PBE with a Hubbard U.

```
18
Lattice="6.830 -0.272 -0.193 3.137 6.073 -0.193 3.137 1.826 5.795" Properties=species:S:1:pos:R:3 pbc="T T T"
F 5.244 5.651 4.008
F 9.923 3.858 4.769
F 5.599 5.857 1.401
F 4.847 0.903 0.641
F 8.255 6.724 4.769
F 7.504 4.368 0.345
F 3.179 3.769 0.641
F 3.179 1.851 3.345
F 7.858 1.976 1.401
F 5.599 3.259 5.065
F 7.504 1.769 4.008
F 9.923 5.776 2.065
Na 4.762 2.772 1.966
Na 8.340 4.855 3.443
Hg 0.000 0.000 0.000
Ni 1.568 3.036 -0.096
Ni 3.415 -0.136 -0.096
Ni 1.568 0.913 2.898
```

E_tot: -3.7467 eV per atom